First-principles (PBE-GGA) data for a geometry-optimized TlGeBr2 structure, as listed in Alexandria.

Structure (POSCAR):
```
TlGeBr2
1.0
3.939 0.000 0.000
-1.970 3.412 0.000
0.000 0.000 30.909
Tl Ge Br
3 3 6
direct
0.000 0.000 0.000
0.333 0.667 0.667
0.667 0.333 0.333
0.000 0.000 0.500
0.333 0.667 0.167
0.667 0.333 0.833
0.000 0.000 0.112
0.000 0.000 0.888
0.333 0.667 0.555
0.333 0.667 0.778
0.667 0.333 0.222
0.667 0.333 0.445
```

Values from the calculation:
Raw formation energy (kJ per mole of atoms): -27.1
E above lowest polymorph (eV per atom): 0.0000
Total DFT energy (no corrections) (Ry per atom): -0.2104
Total magnetization (μB/f.u.): 0.00